# GaCu6Au3

GaCu6Au3 after structural relaxation (PBE-GGA, Alexandria).

Lattice parameters (Å, degrees): 8.0517 3.9159 10.0452 90.00 111.02 90.00
Space group P2_1/m (No. 11)
Inequivalent atoms, fractional coordinates:
Ga 0.2229 0.2500 0.1678
Cu 0.0054 0.2500 0.9097
Cu 0.0855 0.2500 0.5591
Cu 0.2535 0.7500 0.0035
Cu 0.3701 0.2500 0.4420
Cu 0.4319 0.7500 0.2820
Cu 0.4832 0.2500 0.0969
Au 0.0070 0.7500 0.7147
Au 0.2905 0.2500 0.8252
Au 0.3212 0.7500 0.6052

Values from the calculation:
**Energy above the most stable polymorph in this dataset**: 48 meV/atom
**Formation energy**: 0.0 eV/f.u.